Pr8AgHg2, optimized geometry, DFT PBE-GGA; energy above the lowest structure with this stoichiometry = 0.0 meV per atom; symmetry = C2/m (12); raw total energy = -3.99 eV per atom; ΔH_f (0 K) = -2.21 eV/f.u.
1.0
-1.584 4.594 -2.650
-4.217 1.537 5.185
7.800 2.347 5.187
Pr Hg Ag
8 2 1
direct
0.790 0.415 0.580
0.408 0.589 0.816
0.673 0.909 0.347
0.592 0.411 0.184
0.327 0.091 0.653
0.968 0.239 0.936
0.032 0.761 0.064
0.210 0.585 0.420
0.151 0.142 0.301
0.849 0.858 0.699
0.500 0.000 0.000

***

PrAg3Hg2, optimized geometry, DFT PBE-GGA; symmetry = C2/m (12); raw total energy = -2.49 eV per atom; ΔH_f (0 K) = -1.01 eV/f.u.
1.0
4.328 0.000 0.000
-2.164 7.648 -0.822
0.000 -4.162 8.622
Pr Ag Hg
2 6 4
direct
0.885 0.771 0.025
0.115 0.229 0.975
0.253 0.507 0.405
0.070 0.141 0.433
0.421 0.841 0.326
0.579 0.159 0.674
0.930 0.859 0.567
0.747 0.493 0.595
0.228 0.455 0.784
0.425 0.851 0.778
0.575 0.149 0.222
0.772 0.545 0.216

***

Theoretical density for the records above, in order: 7.74 10.63 Mg/m³